Entry 1:
Compound: AcNdTm
Source: the Alexandria database
Functional: PBE-GGA
Structure: relaxed

Unit cell a=3.6777 b=3.6777 c=19.0275 alpha=90.00 beta=90.00 gamma=120.00
Space group P6_3mc (No. 186)
Inequivalent atoms, fractional coordinates:
Ac  0.3333  0.6667  0.0000 x2
Nd  0.0000  0.0000  0.1677 x2
Tm  0.3333  0.6667  0.8153 x2

## Properties
- DFT formation energy (eV per atom) = 0.1549
- offset from the most stable computed form (meV per atom) = 102
- size of the total moment (μB per cell) = 0.001
- D(E_F) (states/eV per cell) = 10.35



Entry 2:
Compound: FeSb
Source: the Alexandria database
Functional: PBE-GGA
Structure: relaxed

Unit cell a=9.040 b=3.810 c=7.409 alpha=90.00 beta=122.29 gamma=90.00
Space group Cm (No. 8)
Inequivalent atoms, fractional coordinates:
Fe  0.000  0.000  0.000 x2
Fe  0.045  0.000  0.389 x2
Fe  0.206  0.500  0.638 x2
Sb  0.197  0.500  0.271 x2
Sb  0.278  0.000  0.962 x2
Sb  0.437  0.000  0.685 x2

## Properties
- raw formation energy (eV per atom) = 0.1666
- size of the total moment (μB per cell) = 12.387
- D(E_F) (states/eV per cell) = 7.07



Entry 3:
Compound: Cu5RhBr12
Source: the Alexandria database
Functional: PBE-GGA
Structure: relaxed

Unit cell a=7.542 b=10.639 c=13.358 alpha=90.00 beta=92.26 gamma=90.00
Space group C2/m (No. 12)
Inequivalent atoms, fractional coordinates:
Cu  0.000  0.000  0.000 x2
Cu  0.000  0.172  0.500 x4
Cu  0.000  0.333  0.000 x4
Rh  0.000  0.500  0.500 x2
Br  0.081  0.330  0.380 x8
Br  0.108  0.500  0.111 x4
Br  0.110  0.166  0.111 x8
Br  0.184  0.000  0.429 x4

## Properties
- raw formation energy (eV per atom) = -0.3031
- size of the total moment (μB per cell) = 5.836
- D(E_F) (states/eV per cell) = 22.75



Please write out number 3 again, unchanged.
Compound: Cu5RhBr12
Source: the Alexandria database
Functional: PBE-GGA
Structure: relaxed

Unit cell a=7.542 b=10.639 c=13.358 alpha=90.00 beta=92.26 gamma=90.00
Space group C2/m (No. 12)
Inequivalent atoms, fractional coordinates:
Cu  0.000  0.000  0.000 x2
Cu  0.000  0.172  0.500 x4
Cu  0.000  0.333  0.000 x4
Rh  0.000  0.500  0.500 x2
Br  0.081  0.330  0.380 x8
Br  0.108  0.500  0.111 x4
Br  0.110  0.166  0.111 x8
Br  0.184  0.000  0.429 x4

## Properties
- raw formation energy (eV per atom) = -0.3031
- size of the total moment (μB per cell) = 5.836
- D(E_F) (states/eV per cell) = 22.75



Among the records above, which one has the lowest size of the total moment?
AcNdTm



Look up the size of the total moment of the third one.
5.836 μB per cell



What is the size of the total moment in the first record?
0.001 μB per cell